A plane-wave DFT calculation with PBE was carried out for a geometry-optimized Ba4MgCo structure.

Unit cell a=7.266 b=7.266 c=7.266 alpha=60.00 beta=60.00 gamma=60.00
Atoms (fractional coordinates):
Ba (0.874, 0.375, 0.375)
Ba (0.375, 0.375, 0.874)
Ba (0.375, 0.874, 0.375)
Ba (0.375, 0.375, 0.375)
Mg (0.000, 0.000, 0.000)
Co (0.750, 0.750, 0.750)

ΔH_f (0 K) ... 0.881 eV/atom
SG ... F-43m (216)
DOS at the Fermi energy ... 12.32 states/eV/f.u.